Crystalline Th5FeSb4 at its relaxed geometry. Source: the Alexandria database, functional GGA-PBE.

Unit cell a=6.345 b=7.628 c=7.628 alpha=80.04 beta=65.42 gamma=65.42
Positions (direct):
Th1 0.260 0.835 0.647
Sb1 0.418 0.394 0.772
Th2 0.742 0.165 0.353
Sb2 0.812 0.772 0.606
Fe1 0.001 0.000 0.000
Th3 0.907 0.353 0.835
Sb3 0.584 0.606 0.228
Th4 0.501 0.000 0.000
Th5 0.095 0.647 0.165
Sb4 0.190 0.228 0.394

Calculated volume   30.5 Å³/atom
Calculated total energy   -6.886 eV per atom
Symmetry   I4/m
D(E_F)   10.6 states/eV/cell
E_form (uncorrected)   -0.68 eV per atom


Crystalline Th3FeSb2 at its relaxed geometry. Source: the Alexandria database, functional GGA-PBE.

Unit cell a=6.316 b=8.263 c=7.651 alpha=105.71 beta=114.38 gamma=90.00
Positions (direct):
Th1 0.132 0.565 0.263
Sb1 0.318 0.909 0.636
Th2 0.132 0.065 0.263
Fe1 0.000 0.250 0.000
Th3 0.499 0.250 0.000
Th4 0.868 0.435 0.737
Sb2 0.318 0.409 0.636
Th5 0.501 0.750 0.000
Sb3 0.682 0.091 0.364
Fe2 0.000 0.750 0.000
Th6 0.868 0.935 0.737
Sb4 0.682 0.591 0.364

Calculated volume   28.9 Å³/atom
Calculated total energy   -7.004 eV per atom
Symmetry   C2/c
D(E_F)   9.9 states/eV/cell
E_form (uncorrected)   -0.51 eV per atom


Crystalline TiFe2Sb at its relaxed geometry. Source: the Alexandria database, functional GGA-PBE.

Unit cell a=3.860 b=3.860 c=9.431 alpha=78.19 beta=78.19 gamma=90.00
Positions (direct):
Sb1 0.000 0.000 0.000
Fe1 0.142 0.625 0.250
Sb2 0.750 0.250 0.500
Ti1 0.250 0.750 0.500
Fe2 0.608 0.125 0.250
Fe3 0.375 0.392 0.750
Ti2 0.500 0.500 0.000
Fe4 0.875 0.858 0.750

Calculated volume   16.8 Å³/atom
Calculated total energy   -6.956 eV per atom
Symmetry   I-42d
D(E_F)   6.8 states/eV/cell
E_form (uncorrected)   0.28 eV per atom


Crystalline TiFe2Sb2 at its relaxed geometry. Source: the Alexandria database, functional GGA-PBE.

Unit cell a=6.866 b=6.866 c=3.630 alpha=90.00 beta=90.00 gamma=90.00
Positions (direct):
Fe1 0.122 0.378 0.000
Ti1 0.500 0.500 0.000
Fe2 0.378 0.878 0.000
Sb1 0.677 0.823 0.500
Sb2 0.823 0.323 0.500
Fe3 0.622 0.122 0.000
Sb3 0.323 0.177 0.500
Ti2 0.000 0.000 0.000
Fe4 0.878 0.622 0.000
Sb4 0.177 0.677 0.500

Calculated volume   17.1 Å³/atom
Calculated total energy   -6.532 eV per atom
Symmetry   P4/mbm
D(E_F)   10.9 states/eV/cell
E_form (uncorrected)   0.08 eV per atom